A relaxed Cs2TlZn crystal. Source: the Alexandria database, functional PBE-GGA.

For the density of states at the Fermi level, the calculation gives 6.93 states/eV/f.u. The value obtained for the energy above the lowest structure with this stoichiometry is 14.7 kJ per mole of atoms. As for the density: 4.570 g/cm³. For the total energy, the calculation gives -1.15 eV per atom. The formation energy comes out at 0.19 eV/atom.

It has space group Fm-3m (No. 225), with a = 9.199 Å, b = 9.199 Å, c = 9.199 Å, α = 90.00°, β = 90.00° and γ = 90.00°. Symmetry generates all atoms from Cs at (0.250, 0.250, 0.250), Tl at (0.000, 0.000, 0.000) and Zn at (0.000, 0.000, 0.500).



A relaxed MgAu4 crystal. Source: the Alexandria database, functional PBE-GGA.

For the density of states at the Fermi level, the calculation gives 3.17 states/eV/f.u. As for the density: 12.598 g/cm³. For the total energy, the calculation gives -2.85 eV per atom. The formation energy comes out at 0.09 eV/atom.

It has space group Im-3m (No. 229), with a = 5.982 Å, b = 5.982 Å, c = 5.982 Å, α = 90.00°, β = 90.00° and γ = 90.00°. Symmetry generates all atoms from Mg at (0.000, 0.000, 0.000) and Au at (0.250, 0.250, 0.250).



A relaxed LiPdPtPb crystal. Source: the Alexandria database, functional PBE-GGA.

For the density of states at the Fermi level, the calculation gives 1.77 states/eV/f.u. The value obtained for the energy above the lowest structure with this stoichiometry is 3.0 kJ per mole of atoms. As for the density: 12.528 g/cm³. For the total energy, the calculation gives -4.59 eV per atom. The formation energy comes out at -0.37 eV/atom.

It has space group F-43m (No. 216), with a = 6.490 Å, b = 6.490 Å, c = 6.490 Å, α = 90.00°, β = 90.00° and γ = 90.00°. Symmetry generates all atoms from Li at (0.000, 0.000, 0.000), Pd at (0.250, 0.250, 0.750), Pt at (0.250, 0.250, 0.250) and Pb at (0.000, 0.000, 0.500).



A relaxed InReS2 crystal. Source: the Alexandria database, functional PBE-GGA.

For the density of states at the Fermi level, the calculation gives 2.37 states/eV/f.u. As for the density: 7.575 g/cm³. For the total energy, the calculation gives -5.37 eV per atom. The formation energy from raw total energies is 491 meV/atom.

It has space group R-3m (No. 166, hexagonal axes), with a = 3.4295 Å, b = 3.4295 Å, c = 23.5777 Å, α = 90.00°, β = 90.00° and γ = 120.00°. Symmetry generates all atoms from In at (0.0000, 0.0000, 0.0000), Re at (0.0000, 0.0000, 0.5000) and S at (0.0000, 0.0000, 0.4048).



A relaxed PtI4Br crystal. Source: the Alexandria database, functional PBE-GGA.

For the density of states at the Fermi level, the calculation gives 2.07 states/eV/f.u. The value obtained for the energy above the lowest structure with this stoichiometry is 0.0 kJ per mole of atoms. As for the density: 4.894 g/cm³. For the total energy, the calculation gives -2.37 eV per atom. The formation energy from raw total energies is -53 meV/atom.

It has space group C2/m (No. 12), with a = 13.107 Å, b = 10.438 Å, c = 8.539 Å, α = 90.00°, β = 114.62° and γ = 90.00°. Symmetry generates all atoms from Pt at (0.077, 0.000, 0.254), I at (0.000, 0.169, 0.000), I at (0.126, 0.183, 0.485), I at (0.205, 0.500, 0.768) and Br at (0.030, 0.500, 0.842).



A relaxed Te6IrPd crystal. Source: the Alexandria database, functional PBE-GGA.

For the density of states at the Fermi level, the calculation gives 3.91 states/eV/f.u. The value obtained for the energy above the lowest structure with this stoichiometry is 7.8 kJ per mole of atoms. As for the density: 7.585 g/cm³. For the total energy, the calculation gives -4.20 eV per atom. The formation energy from raw total energies is -91 meV/atom.

It has space group C2/m (No. 12), with a = 13.645 Å, b = 9.645 Å, c = 9.726 Å, α = 90.00°, β = 133.27° and γ = 90.00°. Symmetry generates all atoms from Te at (0.013, 0.148, 0.187), Te at (0.148, 0.327, 0.645), Te at (0.166, 0.500, 0.322), Te at (0.179, 0.500, 0.038), Ir at (0.250, 0.250, 0.500) and Pd at (0.250, 0.250, 0.000).



A relaxed K2SbP crystal. Source: the Alexandria database, functional PBE-GGA.

For the density of states at the Fermi level, the calculation gives 0.95 states/eV/f.u. The value obtained for the energy above the lowest structure with this stoichiometry is 0.0 kJ per mole of atoms. As for the density: 2.800 g/cm³. For the total energy, the calculation gives -3.28 eV per atom. The formation energy from raw total energies is -345 meV/atom.

It has space group Amm2 (No. 38), with a = 4.206 Å, b = 5.429 Å, c = 11.992 Å, α = 90.00°, β = 90.00° and γ = 90.00°. Symmetry generates all atoms from K at (0.000, 0.000, 0.000), K at (0.500, 0.000, 0.278), Sb at (0.500, 0.000, 0.584) and P at (0.000, 0.000, 0.714).



A relaxed CdGa2CuHg crystal. Source: the Alexandria database, functional PBE-GGA.

For the density of states at the Fermi level, the calculation gives 1.75 states/eV/f.u. The value obtained for the energy above the lowest structure with this stoichiometry is 5.1 kJ per mole of atoms. As for the density: 7.469 g/cm³. For the total energy, the calculation gives -2.10 eV per atom. The formation energy comes out at 0.17 eV/atom.

It has space group P4/mmm (No. 123), with a = 4.709 Å, b = 4.709 Å, c = 5.173 Å, α = 90.00°, β = 90.00° and γ = 90.00°. Symmetry generates all atoms from Cd at (0.000, 0.000, 0.000), Ga at (0.000, 0.500, 0.500), Cu at (0.500, 0.500, 0.500) and Hg at (0.500, 0.500, 0.000).



A relaxed Ce2PuMg2Ga2 crystal. Source: the Alexandria database, functional PBE-GGA.

For the density of states at the Fermi level, the calculation gives 10.45 states/eV/f.u. As for the density: 6.371 g/cm³. For the total energy, the calculation gives -5.03 eV per atom. The formation energy comes out at 0.04 eV/atom.

It has space group P-3m1 (No. 164), with a = 4.7654 Å, b = 4.7654 Å, c = 9.4399 Å, α = 90.00°, β = 90.00° and γ = 120.00°. Symmetry generates all atoms from Ce at (0.0000, 0.0000, 0.2133), Pu at (0.0000, 0.0000, 0.5000), Mg at (0.3333, 0.6667, 0.0222) and Ga at (0.3333, 0.6667, 0.3518).



A relaxed Ac3Cu2O8 crystal. Source: the Alexandria database, functional PBE-GGA.

For the density of states at the Fermi level, the calculation gives 7.93 states/eV/f.u. As for the density: 8.080 g/cm³. For the total energy, the calculation gives -6.57 eV per atom. The formation energy from raw total energies is -1938 meV/atom.

It has space group R-3m (No. 166, hexagonal axes), with a = 5.6715 Å, b = 5.6715 Å, c = 20.7171 Å, α = 90.00°, β = 90.00° and γ = 120.00°. Symmetry generates all atoms from Ac at (0.0000, 0.0000, 0.0000), Ac at (0.0000, 0.0000, 0.2073), Cu at (0.0000, 0.0000, 0.4080), O at (0.0000, 0.0000, 0.3189) and O at (0.0232, 0.5116, 0.7706).



A relaxed Ac2Pd3 crystal. Source: the Alexandria database, functional PBE-GGA.

For the density of states at the Fermi level, the calculation gives 2.43 states/eV/f.u. The value obtained for the energy above the lowest structure with this stoichiometry is 0.7 kJ per mole of atoms. As for the density: 10.337 g/cm³. For the total energy, the calculation gives -5.52 eV per atom. The formation energy comes out at -0.76 eV/atom.

It has space group Cmce (No. 64), with a = 5.731 Å, b = 9.887 Å, c = 8.770 Å, α = 90.00°, β = 90.00° and γ = 90.00°. Symmetry generates all atoms from Ac at (0.000, 0.157, 0.096), Pd at (0.000, 0.000, 0.500) and Pd at (0.250, 0.098, 0.750).



A relaxed SiPbSe crystal. Source: the Alexandria database, functional PBE-GGA.

For the density of states at the Fermi level, the calculation gives 2.28 states/eV/f.u. The value obtained for the energy above the lowest structure with this stoichiometry is 25.8 kJ per mole of atoms. As for the density: 7.253 g/cm³. For the total energy, the calculation gives -3.91 eV per atom. The formation energy from raw total energies is 297 meV/atom.

It has space group P-6m2 (No. 187), with a = 4.7581 Å, b = 4.7581 Å, c = 3.6693 Å, α = 90.00°, β = 90.00° and γ = 120.00°. Symmetry generates all atoms from Si at (0.0000, 0.0000, 0.0000), Pb at (0.6667, 0.3333, 0.5000) and Se at (0.3333, 0.6667, 0.0000).